(1)
VASP calculation (GGA-PBE) on a geometry-optimized La5DySn5 structure.

Properties
The space group is C2/m (12). The volume is 33.86 Å³ per atom. The formation energy comes out at -538 meV per atom. The value obtained for the raw total energy is -5.016 eV/atom. For the density of states at the Fermi level, the calculation gives 0.838 states/eV/atom.

Cell: 6.163 9.147 7.317 Å, 105.44 90.00 109.69°
Fractional positions:
1 La 0.682 0.364 0.272
2 La 0.658 0.315 0.769
3 La 0.000 0.000 0.500
4 La 0.342 0.685 0.231
5 La 0.318 0.636 0.728
6 Dy 0.000 0.000 0.000
7 Sn 0.837 0.673 0.082
8 Sn 0.839 0.679 0.628
9 Sn 0.500 0.000 0.000
10 Sn 0.161 0.321 0.372
11 Sn 0.163 0.327 0.918

***

(2)
VASP calculation (GGA-PBE) on a geometry-optimized LaDySn structure.

Properties
The space group is I4mm (107). The volume is 29.44 Å³ per atom. The formation energy comes out at -459 meV per atom. The value obtained for the raw total energy is -4.970 eV/atom. For the density of states at the Fermi level, the calculation gives 1.246 states/eV/atom.

Cell: 4.181 4.181 5.854 Å, 110.92 110.92 90.00°
Fractional positions:
1 La 0.626 0.626 0.252
2 Sn 0.291 0.291 0.581
3 Dy 0.933 0.933 0.867

***

(3)
VASP calculation (GGA-PBE) on a geometry-optimized LaDy2Sn structure.

Properties
The space group is P4/mmm (123). The volume is 29.20 Å³ per atom. The formation energy comes out at -422 meV per atom. The value obtained for the raw total energy is -4.956 eV/atom. For the density of states at the Fermi level, the calculation gives 1.495 states/eV/atom.

Cell: 4.805 4.930 4.930 Å, 90.00 90.00 90.00°
Fractional positions:
1 La 0.500 0.500 0.500
2 Sn 0.500 0.000 0.000
3 Dy 0.000 0.000 0.500
4 Dy 0.000 0.500 0.000